No. 1
This record from Alexandria describes a relaxed structure of SmU5N6. The functional is PBE.

```
SmU5N6
1.0
5.8805 -0.0884 -1.1115
-3.1745 4.9508 -1.1115
0.1154 0.2074 5.9967
U N Sm
5 6 1
Direct
0.8357 0.1643 0.5000
0.6667 0.3333 0.0000
0.3333 0.6667 0.0000
0.5000 0.5000 0.5000
0.1643 0.8357 0.5000
0.2594 0.2594 0.7469
0.5703 0.9145 0.7440
0.9145 0.5703 0.7440
0.4297 0.0855 0.2560
0.0855 0.4297 0.2560
0.7406 0.7406 0.2531
0.0000 0.0000 0.0000
```

Values from the calculation:
electronic total energy: -127.1 eV per formula unit
total magnetic moment: 6.36 μB/cell
volume: 14.6 Å³ per atom
formation energy from raw total energies: -1329 meV/atom


No. 2
This record from Alexandria describes a relaxed structure of Pr2HfWN5. The functional is PBE.

```
Pr2HfWN5
1.0
-2.6682 1.7744 1.2074
-2.8534 -4.5249 -4.5116
-1.1819 -7.1990 7.9677
N Pr Hf W
10 4 2 2
Direct
0.6775 0.3550 0.8867
0.4891 0.9782 0.7886
0.3740 0.7481 0.0014
0.3225 0.6450 0.3867
0.9528 0.9057 0.5395
0.0472 0.0943 0.0395
0.5109 0.0218 0.2886
0.7185 0.4370 0.1488
0.6260 0.2519 0.5014
0.2815 0.5630 0.6488
0.8914 0.7829 0.1909
0.8492 0.6984 0.7974
0.1086 0.2171 0.6909
0.1508 0.3016 0.2974
0.7821 0.5642 0.5146
0.2179 0.4358 0.0146
0.4753 0.9506 0.4560
0.5247 0.0494 0.9560
```

Values from the calculation:
electronic total energy: -84.8 eV per formula unit
total magnetic moment: 0.00 μB/cell
volume: 13.9 Å³ per atom
formation energy from raw total energies: -1188 meV/atom


> The lowest volume belongs to which entry?

Pr2HfWN5


> The lowest volume belongs to which entry?

Pr2HfWN5


Copy entry 2 word for word.
This record from Alexandria describes a relaxed structure of Pr2HfWN5. The functional is PBE.

```
Pr2HfWN5
1.0
-2.6682 1.7744 1.2074
-2.8534 -4.5249 -4.5116
-1.1819 -7.1990 7.9677
N Pr Hf W
10 4 2 2
Direct
0.6775 0.3550 0.8867
0.4891 0.9782 0.7886
0.3740 0.7481 0.0014
0.3225 0.6450 0.3867
0.9528 0.9057 0.5395
0.0472 0.0943 0.0395
0.5109 0.0218 0.2886
0.7185 0.4370 0.1488
0.6260 0.2519 0.5014
0.2815 0.5630 0.6488
0.8914 0.7829 0.1909
0.8492 0.6984 0.7974
0.1086 0.2171 0.6909
0.1508 0.3016 0.2974
0.7821 0.5642 0.5146
0.2179 0.4358 0.0146
0.4753 0.9506 0.4560
0.5247 0.0494 0.9560
```

Values from the calculation:
electronic total energy: -84.8 eV per formula unit
total magnetic moment: 0.00 μB/cell
volume: 13.9 Å³ per atom
formation energy from raw total energies: -1188 meV/atom


> The lowest electronic total energy belongs to which entry?

SmU5N6